1.
4
Lattice="-0.896 2.606 -1.027 -1.846 0.757 3.531 4.799 2.433 1.987" Properties=species:S:1:pos:R:3 comment="AlCd2Cu meta-GGA SCAN PBEsol geometry" formation_enthalpy_0k_ev_per_fu=0.492 dft_energy_ev_per_fu=-83.29 pbc="T T T"
Cu -1.371 1.681 1.252
Cd 3.643 1.847 1.509
Al 1.029 2.898 2.246
Cd 1.156 0.586 0.479

=====

2.
8
Lattice="-4.602 3.886 0.545 -5.497 -1.309 -3.528 -4.450 -1.237 4.800" Properties=species:S:1:pos:R:3 comment="NaTl2Au meta-GGA SCAN PBEsol geometry" formation_enthalpy_0k_ev_per_fu=-0.589 dft_energy_ev_per_fu=-218.68 pbc="T T T"
Tl -8.974 -0.438 2.848
Au 0.000 0.000 0.000
Au -8.425 1.641 1.045
Tl -3.052 -0.436 2.503
Na -2.301 1.943 0.272
Tl -10.346 0.804 -0.822
Tl -6.726 2.749 -0.895
Na -6.124 -0.302 0.772

=====

3.
80
Lattice="11.960 0.026 0.000 -3.878 11.314 0.000 -4.041 -5.670 9.725" Properties=species:S:1:pos:R:3 comment="CsAlSi2O6 meta-GGA SCAN PBEsol geometry" raw_formation_energy_ev_per_atom=-3.091 dft_energy_ev_per_fu=-133.89 pbc="T T T"
Cs 2.021 2.835 7.376
Al 8.597 6.699 0.000
O 2.876 3.891 2.007
Al -3.960 2.822 7.976
O 8.484 8.445 0.084
O 9.129 2.044 0.701
O 3.470 6.077 3.477
Cs -2.047 1.459 4.862
Cs 3.960 -2.822 7.210
Si 0.571 0.280 2.026
Cs 3.933 1.472 0.000
O -0.938 5.398 3.317
O 1.538 -2.761 4.778
O 0.571 -0.407 3.477
O -2.405 10.718 0.965
O 3.112 -0.553 4.946
O 2.568 6.266 0.965
O -5.088 3.626 9.024
Si 6.016 4.950 0.302
O -2.831 2.018 9.024
O -0.572 0.861 8.179
Al -2.021 -2.835 6.611
O 7.145 1.793 2.855
Si 4.006 0.734 4.560
Cs 6.089 4.211 4.862
Si -2.017 5.026 6.888
O 6.551 -0.393 1.386
Al 2.021 2.835 3.113
O 3.470 6.077 6.248
Si 4.119 6.301 7.699
O -1.001 0.259 1.545
Si 7.306 -1.618 5.165
Al 3.526 10.312 0.000
O 1.044 -1.198 8.759
Si 3.471 5.391 2.026
O 3.640 8.566 0.084
O -3.412 6.253 3.897
O 6.552 -0.848 6.407
O 0.892 3.640 4.161
O 5.409 0.420 8.339
O -0.895 4.459 5.828
O 0.571 -0.407 6.248
Si 6.058 0.644 6.888
Si -1.325 1.631 9.422
O 8.856 3.904 2.855
O 5.042 5.411 1.545
O -2.510 6.064 1.386
Si -3.264 7.288 5.165
O -4.678 1.669 6.870
Al 1.424 -1.015 4.862
Cs 6.062 8.505 2.348
Si -2.510 5.377 2.836
Si 6.551 0.293 2.836
O 2.868 0.566 9.641
O -1.302 -1.682 7.717
O 3.149 2.031 4.161
Cs 0.082 8.492 2.514
Al 2.617 6.685 4.862
Si -6.594 4.013 9.422
O -3.241 3.975 6.870
O 0.929 6.223 4.946
O -4.770 7.675 5.563
O 8.811 -2.005 5.563
Al 8.001 2.848 1.749
Si -0.078 -0.631 7.699
O 1.165 1.779 2.007
O 6.872 3.653 0.701
O 4.936 1.211 5.828
Si 9.986 0.747 0.302
O 4.613 4.809 8.179
O 2.503 8.432 4.778
Si 0.035 4.937 4.560
O -2.511 6.518 6.407
O -2.739 -3.988 7.717
Cs 0.108 4.198 0.000
O 1.173 5.105 9.641
O 6.875 -4.446 8.759
O -1.368 5.250 8.339
O 7.453 -0.583 3.897
O 4.980 0.273 3.317

=====

4.
4
Lattice="-2.716 0.928 0.148 -0.687 -1.654 -2.247 -1.546 -5.213 4.310" Properties=species:S:1:pos:R:3 comment="SrBe3 meta-GGA SCAN PBEsol geometry" formation_enthalpy_0k_ev_per_fu=2.469 e_above_lowest_polymorph_kj_per_mol_atoms=0.00 dft_energy_ev_per_fu=-32.87 pbc="T T T"
Be -0.527 -1.776 1.468
Be -2.475 -2.970 1.105
Sr -1.702 -0.363 -1.050
Be -1.020 -3.437 2.842

=====

5.
5
Lattice="-1.159 -4.022 -2.166 -1.128 -1.913 4.156 -4.419 1.539 -0.492" Properties=species:S:1:pos:R:3 comment="KZrRhS2 meta-GGA SCAN PBEsol geometry" raw_formation_energy_ev_per_atom=0.311 dft_energy_ev_per_fu=-90.50 pbc="T T T"
S -0.564 -0.957 2.078
K -2.209 0.769 -0.246
Zr -3.353 -2.198 0.749
Rh 0.000 0.000 0.000
S -0.580 -2.011 -1.083

=====

6.
5
Lattice="5.406 0.000 0.000 0.000 5.406 0.000 0.000 0.000 5.406" Properties=species:S:1:pos:R:3 comment="Ca3InP meta-GGA SCAN PBEsol geometry" formation_enthalpy_0k_ev_per_fu=-3.743 e_above_lowest_polymorph_kj_per_mol_atoms=0.00 dft_energy_ev_per_fu=-76.52 pbc="T T T"
Ca 0.000 2.703 0.000
Ca 0.000 0.000 2.703
Ca 2.703 0.000 0.000
In 2.703 2.703 2.703
P 0.000 0.000 0.000

=====

7.
4
Lattice="-3.071 2.652 -0.691 -2.074 -2.963 -2.157 -1.030 -3.040 5.166" Properties=species:S:1:pos:R:3 comment="LiY2Te meta-GGA SCAN PBEsol geometry" raw_formation_energy_ev_per_atom=-0.769 dft_energy_ev_per_fu=-98.40 pbc="T T T"
Y -2.450 -2.426 1.578
Y -3.942 -0.283 4.178
Te -2.847 -0.339 -0.908
Li -2.546 0.650 1.554

=====

8.
4
Lattice="-0.019 -2.494 1.134 4.118 2.279 2.107 -4.773 1.743 1.933" Properties=species:S:1:pos:R:3 comment="CaMo2Rh meta-GGA SCAN PBEsol geometry" formation_enthalpy_0k_ev_per_fu=1.800 e_above_lowest_polymorph_kj_per_mol_atoms=21.82 dft_energy_ev_per_fu=-111.41 pbc="T T T"
Rh -0.009 -1.247 0.567
Mo -0.337 0.764 2.587
Ca 2.059 1.140 1.054
Mo -2.387 0.872 0.966

=====

Across the entries above, D(E_F) takes the values 1.28, 2.99, 0.00, 1.59, 1.64, 3.56, 2.46, 3.47 states/eV/cell, respectively.
Across the entries above, size of the total moment takes the values 0.0, 0.0, 0.0, 0.1, 2.0, 0.0, 0.0, 0.0 μB per cell, respectively.